1.
Entry from Alexandria: Ac2Tl2Cd15 after structural relaxation (PBE).

- Magnetization: 0.000 μB/atom
- Total energy: -1.57 eV/atom
- Calculated density: 8.94 Mg/m³
- E_form: -0.163 eV/atom

abc: 10.4905 10.4905 14.9026
angles: 90.00 90.00 120.00
Space group R-3m (No. 166, hexagonal axes)
Symmetry-distinct sites (fractional):
Ac 0.0000 0.0000 0.1654
Tl 0.0000 0.0000 0.3976
Cd 0.0000 0.3064 0.5000
Cd 0.0000 0.5000 0.0000
Cd 0.0168 0.5084 0.6524

=====

2.
Entry from Alexandria: CuPtAu2 after structural relaxation (PBE).

- Relative energy among the computed polymorphs: 286.3 meV/atom
- Magnetization: 0.000 μB/atom
- Total energy: -3.93 eV/atom
- Calculated density: 15.40 Mg/m³
- E_form: 0.239 eV/atom

abc: 3.8413 3.8413 19.0704
angles: 90.00 90.00 90.00
Space group I-42d (No. 122)
Symmetry-distinct sites (fractional):
Cu 0.0000 0.0000 0.0000
Pt 0.0000 0.0000 0.5000
Au 0.2478 0.2500 0.1250

=====

3.
Entry from Alexandria: TcAg2Au after structural relaxation (PBE).

- Relative energy among the computed polymorphs: 558.6 meV/atom
- Magnetization: 0.824 μB/atom
- Total energy: -3.99 eV/atom
- Calculated density: 10.78 Mg/m³
- E_form: 0.851 eV/atom

abc: 7.5598 7.5598 5.5085
angles: 90.00 90.00 90.00
Space group I-42d (No. 122)
Symmetry-distinct sites (fractional):
Tc 0.0000 0.0000 0.0000
Ag 0.2493 0.2500 0.6250
Au 0.0000 0.0000 0.5000

=====

4.
Entry from Alexandria: Al2HgSb2 after structural relaxation (PBE).

- ΔE_f (raw): 186.8 meV per atom
- Relative energy among the computed polymorphs: 185.5 meV/atom
- Magnetization: 0.000 μB/atom
- Total energy: -3.02 eV/atom
- Calculated density: 6.79 Mg/m³

abc: 8.4651 8.4651 3.3990
angles: 90.00 90.00 90.00
Space group P4/mbm (No. 127)
Symmetry-distinct sites (fractional):
Al 0.1339 0.3661 0.0000
Hg 0.0000 0.0000 0.5000
Sb 0.1602 0.6602 0.5000

=====

5.
Entry from Alexandria: TcSb2MoI after structural relaxation (PBE).

- ΔE_f (raw): 1191.1 meV per atom
- Relative energy among the computed polymorphs: 0.0 meV/atom
- Magnetization: 0.908 μB/atom
- Total energy: -5.01 eV/atom
- Calculated density: 6.31 Mg/m³

abc: 5.0539 5.0539 5.8126
angles: 90.00 90.00 90.00
Space group P4/mmm (No. 123)
Symmetry-distinct sites (fractional):
Tc 0.0000 0.0000 0.0000
Sb 0.0000 0.5000 0.0000
Mo 0.5000 0.5000 0.5000
I 0.0000 0.0000 0.5000

=====

6.
Entry from Alexandria: NdTaGa2 after structural relaxation (PBE).

- Magnetization: 0.000 μB/atom
- Total energy: -5.67 eV/atom
- Calculated density: 9.33 Mg/m³
- E_form: 0.001 eV/atom

abc: 3.1296 3.1296 29.2385
angles: 90.00 90.00 120.00
Space group R-3m (No. 166, hexagonal axes)
Symmetry-distinct sites (fractional):
Nd 0.0000 0.0000 0.0000
Ta 0.0000 0.0000 0.5000
Ga 0.0000 0.0000 0.2419

=====

7.
Entry from Alexandria: Rb2TlSn3Pb4 after structural relaxation (PBE).

- Magnetization: 0.000 μB/atom
- Total energy: -3.21 eV/atom
- Calculated density: 6.95 Mg/m³
- E_form: -0.093 eV/atom

abc: 5.2271 5.2271 13.6422
angles: 90.00 90.00 90.00
Space group P-4m2 (No. 115)
Symmetry-distinct sites (fractional):
Rb 0.0000 0.5000 0.2494
Tl 0.5000 0.5000 0.0000
Sn 0.0000 0.0000 0.0000
Sn 0.0000 0.5000 0.6297
Pb 0.0000 0.0000 0.5000
Pb 0.0000 0.5000 0.8650
Pb 0.5000 0.5000 0.5000

=====

8.
Entry from Alexandria: TeMo6 after structural relaxation (PBE).

- ΔE_f (raw): 356.8 meV per atom
- Relative energy among the computed polymorphs: 0.0 meV/atom
- Magnetization: 0.000 μB/atom
- Total energy: -9.38 eV/atom
- Calculated density: 9.21 Mg/m³

abc: 17.7967 5.3585 5.3189
angles: 90.00 90.00 90.00
Space group Cmce (No. 64)
Symmetry-distinct sites (fractional):
Te 0.0000 0.0000 0.0000
Mo 0.1260 0.1725 0.2600
Mo 0.2503 0.0000 0.0000

=====

9.
Entry from Alexandria: Co2ReRh after structural relaxation (PBE).

- Relative energy among the computed polymorphs: 197.4 meV/atom
- Magnetization: 0.445 μB/atom
- Total energy: -8.28 eV/atom
- Calculated density: 13.34 Mg/m³
- E_form: 0.223 eV/atom

abc: 5.8739 5.8739 5.8739
angles: 90.00 90.00 90.00
Space group Fm-3m (No. 225)
Symmetry-distinct sites (fractional):
Co 0.2500 0.2500 0.2500
Re 0.0000 0.0000 0.0000
Rh 0.0000 0.0000 0.5000

=====

10.
Entry from Alexandria: CsNa2ErI6 after structural relaxation (PBE).

- ΔE_f (raw): -1351.1 meV per atom
- Magnetization: 0.000 μB/atom
- Total energy: -3.09 eV/atom
- Calculated density: 4.06 Mg/m³

abc: 8.2761 8.2761 22.9186
angles: 90.00 90.00 120.00
Space group R3 (No. 146, hexagonal axes)
Symmetry-distinct sites (fractional):
Cs 0.0000 0.0000 0.0000
Na 0.0000 0.0000 0.2820
Na 0.0000 0.0000 0.8031
Er 0.0000 0.0000 0.4715
I 0.0175 0.5826 0.0537
I 0.0259 0.3548 0.2095

=====

11.
Entry from Alexandria: TaMoAs2Br after structural relaxation (PBE).

- ΔE_f (raw): 892.2 meV per atom
- Relative energy among the computed polymorphs: 14.5 meV/atom
- Magnetization: 0.898 μB/atom
- Total energy: -5.84 eV/atom
- Calculated density: 6.54 Mg/m³

abc: 5.0280 5.0280 5.0871
angles: 90.00 90.00 90.00
Space group P4/mmm (No. 123)
Symmetry-distinct sites (fractional):
Ta 0.0000 0.0000 0.0000
Mo 0.5000 0.5000 0.5000
As 0.0000 0.5000 0.0000
Br 0.0000 0.0000 0.5000

=====

12.
Entry from Alexandria: Mg2AsOs after structural relaxation (PBE).

- Magnetization: 0.000 μB/atom
- Total energy: -4.70 eV/atom
- Calculated density: 6.90 Mg/m³
- E_form: 0.063 eV/atom

abc: 3.1257 3.1257 26.7827
angles: 90.00 90.00 120.00
Space group R3m (No. 160, hexagonal axes)
Symmetry-distinct sites (fractional):
Mg 0.0000 0.0000 0.0000
Mg 0.0000 0.0000 0.2317
As 0.0000 0.0000 0.7571
Os 0.0000 0.0000 0.4857

=====

13.
Entry from Alexandria: CrInS2N after structural relaxation (PBE).

- ΔE_f (raw): 1532.7 meV per atom
- Relative energy among the computed polymorphs: 1529.0 meV/atom
- Magnetization: 0.133 μB/atom
- Total energy: -4.26 eV/atom
- Calculated density: 3.79 Mg/m³

abc: 5.0999 5.0999 4.1246
angles: 90.00 90.00 90.00
Space group P4/mmm (No. 123)
Symmetry-distinct sites (fractional):
Cr 0.0000 0.0000 0.0000
In 0.5000 0.5000 0.5000
S 0.0000 0.5000 0.5000
N 0.5000 0.5000 0.0000

=====

14.
Entry from Alexandria: NpInNiPt after structural relaxation (PBE).

- Magnetization: 0.847 μB/atom
- Total energy: -7.12 eV/atom
- Calculated density: 13.32 Mg/m³
- E_form: -0.243 eV/atom

abc: 6.7087 6.7087 6.7087
angles: 90.00 90.00 90.00
Space group F-43m (No. 216)
Symmetry-distinct sites (fractional):
Np 0.0000 0.0000 0.0000
In 0.0000 0.0000 0.5000
Ni 0.2500 0.2500 0.2500
Pt 0.2500 0.2500 0.7500

=====

15.
Entry from Alexandria: La2AlRh3 after structural relaxation (PBE).

- Magnetization: 0.000 μB/atom
- Total energy: -6.80 eV/atom
- Calculated density: 8.74 Mg/m³
- E_form: -0.860 eV/atom

abc: 5.8285 5.8285 11.8821
angles: 90.00 90.00 120.00
Space group R-3m (No. 166, hexagonal axes)
Symmetry-distinct sites (fractional):
La 0.0000 0.0000 0.1341
Al 0.0000 0.0000 0.5000
Rh 0.0000 0.5000 0.0000

=====

16.
Entry from Alexandria: LiSm2PuS4 after structural relaxation (PBE).

- ΔE_f (raw): -1844.8 meV per atom
- Magnetization: 0.710 μB/atom
- Total energy: -7.12 eV/atom
- Calculated density: 6.41 Mg/m³

abc: 6.8535 3.9774 6.8669
angles: 90.00 109.90 90.00
Space group P2/m (No. 10)
Symmetry-distinct sites (fractional):
Li 0.0000 0.0000 0.0000
Sm 0.5000 0.0000 0.5000
Sm 0.5000 0.5000 0.0000
Pu 0.0000 0.5000 0.5000
S 0.2428 0.0000 0.7504
S 0.2429 0.5000 0.2435

=====

17.
Entry from Alexandria: KHg2P after structural relaxation (PBE).

- Magnetization: 0.000 μB/atom
- Total energy: -1.75 eV/atom
- Calculated density: 6.72 Mg/m³
- E_form: 0.033 eV/atom

abc: 3.7975 3.7975 8.0734
angles: 90.00 90.00 90.00
Space group P4mm (No. 99)
Symmetry-distinct sites (fractional):
K 0.0000 0.0000 0.0000
Hg 0.0000 0.0000 0.3973
Hg 0.5000 0.5000 0.7070
P 0.5000 0.5000 0.3487

=====

18.
Entry from Alexandria: RbCd2Br2 after structural relaxation (PBE).

- ΔE_f (raw): -771.1 meV per atom
- Relative energy among the computed polymorphs: 0.0 meV/atom
- Magnetization: 0.000 μB/atom
- Total energy: -2.00 eV/atom
- Calculated density: 4.77 Mg/m³

abc: 4.1739 4.1739 18.7705
angles: 90.00 90.00 90.00
Space group I4/mmm (No. 139)
Symmetry-distinct sites (fractional):
Rb 0.0000 0.0000 0.0000
Cd 0.0000 0.5000 0.2500
Br 0.0000 0.0000 0.3937

=====

19.
Entry from Alexandria: Ac3PrH8 after structural relaxation (PBE).

- Magnetization: 0.000 μB/atom
- Total energy: -4.26 eV/atom
- Calculated density: 7.07 Mg/m³

abc: 5.7992 5.7992 5.7992
angles: 90.00 90.00 90.00
Space group Pm-3m (No. 221)
Symmetry-distinct sites (fractional):
Ac 0.0000 0.0000 0.5000
Pr 0.5000 0.5000 0.5000
H 0.2591 0.2591 0.2591

=====

20.
Entry from Alexandria: Hf2ScFePb after structural relaxation (PBE).

- Magnetization: 0.000 μB/atom
- Total energy: -7.40 eV/atom
- Calculated density: 9.70 Mg/m³
- E_form: 0.283 eV/atom

abc: 4.7523 4.7523 5.0383
angles: 90.00 90.00 90.00
Space group P4/mmm (No. 123)
Symmetry-distinct sites (fractional):
Hf 0.0000 0.5000 0.0000
Sc 0.0000 0.0000 0.5000
Fe 0.5000 0.5000 0.0000
Pb 0.5000 0.5000 0.5000

=====

21.
Entry from Alexandria: PmHgP2 after structural relaxation (PBE).

- Relative energy among the computed polymorphs: 93.4 meV/atom
- Magnetization: 0.000 μB/atom
- Total energy: -4.30 eV/atom
- Calculated density: 5.45 Mg/m³
- E_form: -0.335 eV/atom

abc: 4.2912 4.2912 23.3540
angles: 90.00 90.00 120.00
Space group R-3m (No. 166, hexagonal axes)
Symmetry-distinct sites (fractional):
Pm 0.0000 0.0000 0.0000
Hg 0.0000 0.0000 0.5000
P 0.0000 0.0000 0.3976

=====

22.
Entry from Alexandria: MnTlAu after structural relaxation (PBE).

- Magnetization: 1.452 μB/atom
- Total energy: -4.68 eV/atom
- Calculated density: 11.00 Mg/m³
- E_form: 0.257 eV/atom

abc: 6.5067 6.5067 6.5067
angles: 90.00 90.00 90.00
Space group F-43m (No. 216)
Symmetry-distinct sites (fractional):
Mn 0.0000 0.0000 0.0000
Tl 0.0000 0.0000 0.5000
Au 0.2500 0.2500 0.2500

=====

23.
Entry from Alexandria: RbCaY2Br after structural relaxation (PBE).

- ΔE_f (raw): 479.4 meV per atom
- Magnetization: 0.140 μB/atom
- Total energy: -3.03 eV/atom
- Calculated density: 2.65 Mg/m³

abc: 6.5687 6.5687 5.5757
angles: 90.00 90.00 90.00
Space group P4/mmm (No. 123)
Symmetry-distinct sites (fractional):
Rb 0.0000 0.0000 0.0000
Ca 0.5000 0.5000 0.5000
Y 0.0000 0.5000 0.5000
Br 0.5000 0.5000 0.0000

=====

24.
Entry from Alexandria: CsTi2I7 after structural relaxation (PBE).

- ΔE_f (raw): -754.8 meV per atom
- Magnetization: 0.200 μB/atom
- Total energy: -3.50 eV/atom
- Calculated density: 4.68 Mg/m³

abc: 9.1321 15.5452 5.5801
angles: 90.00 90.00 90.00
Space group Cmmm (No. 65)
Symmetry-distinct sites (fractional):
Cs 0.0000 0.0000 0.0000
Ti 0.0000 0.2983 0.5000
I 0.0000 0.3031 0.0000
I 0.0000 0.5000 0.5000
I 0.1906 0.1449 0.5000

=====

25.
Entry from Alexandria: Cd2ReSb after structural relaxation (PBE).

- ΔE_f (raw): 650.0 meV per atom
- Magnetization: 0.001 μB/atom
- Total energy: -3.95 eV/atom
- Calculated density: 10.61 Mg/m³

abc: 3.0023 3.0023 32.0533
angles: 90.00 90.00 120.00
Space group R-3m (No. 166, hexagonal axes)
Symmetry-distinct sites (fractional):
Cd 0.0000 0.0000 0.2405
Re 0.0000 0.0000 0.5000
Sb 0.0000 0.0000 0.0000

=====

26.
Entry from Alexandria: RbNiPtC2 after structural relaxation (PBE).

- Magnetization: 0.000 μB/atom
- Total energy: -2.24 eV/atom
- Calculated density: 6.10 Mg/m³
- E_form: 4.011 eV/atom

abc: 4.3153 4.3153 5.3102
angles: 90.00 90.00 90.00
Space group P4/mmm (No. 123)
Symmetry-distinct sites (fractional):
Rb 0.0000 0.0000 0.0000
Ni 0.5000 0.5000 0.5000
Pt 0.0000 0.0000 0.5000
C 0.0000 0.5000 0.0000